Record 1
Here is a relaxed structure of AcNd2InN4 from the Alexandria database. Energies are from PBE-GGA.

Output
Energy relative to the elements, uncorrected ... -867 meV per atom
Calculated density ... 8.04 g cm⁻³
Electronic total energy ... -113.2 eV for the cell shown
Space group ... No. 63

Cell: 6.447 6.447 12.587 Å, 90.00 90.00 147.17°
Positions (direct):
Ac 0.112 0.888 0.750
Ac 0.888 0.112 0.250
Nd 0.370 0.630 0.538
Nd 0.370 0.630 0.962
Nd 0.630 0.370 0.038
Nd 0.630 0.370 0.462
In 0.153 0.847 0.250
In 0.847 0.153 0.750
N 0.000 0.000 0.000
N 0.000 0.000 0.500
N 0.267 0.733 0.121
N 0.267 0.733 0.379
N 0.453 0.547 0.750
N 0.547 0.453 0.250
N 0.733 0.267 0.621
N 0.733 0.267 0.879

***

Record 2
Here is a relaxed structure of AlRh from the Alexandria database. Energies are from PBE-GGA.

Output
Density of states at the Fermi level ... 7.5 states/eV/cell
Calculated density ... 7.39 g cm⁻³
Electronic total energy ... -73.5 eV for the cell shown
Space group ... No. 6
Energy relative to the elements ... -0.58 eV per atom

Cell: 6.843 2.868 9.237 Å, 90.00 104.98 90.00°
Positions (direct):
Al 0.000 0.000 0.000
Al 0.017 0.500 0.726
Al 0.322 0.500 0.439
Al 0.597 0.500 0.851
Al 0.659 0.000 0.597
Al 0.979 0.000 0.450
Rh 0.288 0.500 0.955
Rh 0.310 0.000 0.670
Rh 0.340 0.000 0.214
Rh 0.659 0.000 0.085
Rh 0.668 0.500 0.372
Rh 0.990 0.500 0.227

***

Record 3
Here is a relaxed structure of Er5Rh3 from the Alexandria database. Energies are from PBE-GGA.

Output
Density of states at the Fermi level ... 13.5 states/eV/cell
Calculated density ... 10.50 g cm⁻³
Electronic total energy ... -101.9 eV for the cell shown
Space group ... No. 193
Energy relative to the elements ... -0.76 eV per atom

Cell: 8.189 8.189 6.234 Å, 90.00 90.00 120.00°
Positions (direct):
Er 0.000 0.251 0.250
Er 0.000 0.749 0.750
Er 0.251 0.000 0.250
Er 0.251 0.251 0.750
Er 0.333 0.667 0.000
Er 0.333 0.667 0.500
Er 0.667 0.333 0.000
Er 0.667 0.333 0.500
Er 0.749 0.000 0.750
Er 0.749 0.749 0.250
Rh 0.000 0.397 0.750
Rh 0.000 0.603 0.250
Rh 0.397 0.000 0.750
Rh 0.397 0.397 0.250
Rh 0.603 0.000 0.250
Rh 0.603 0.603 0.750

***

Record 4
Here is a relaxed structure of FeCu2AuI8 from the Alexandria database. Energies are from PBE-GGA.

Output
Energy relative to the elements, uncorrected ... -32 meV per atom
Density of states at the Fermi level ... 8.7 states/eV/cell
Calculated density ... 4.65 g cm⁻³
Electronic total energy ... -32.7 eV for the cell shown
Space group ... No. 12

Cell: 9.424 9.424 7.609 Å, 104.10 104.10 49.96°
Positions (direct):
Fe 0.000 0.000 0.000
Cu 0.381 0.381 0.795
Cu 0.619 0.619 0.205
Au 0.500 0.500 0.500
I 0.051 0.051 0.376
I 0.118 0.642 0.981
I 0.344 0.344 0.452
I 0.358 0.882 0.019
I 0.642 0.118 0.981
I 0.656 0.656 0.548
I 0.882 0.358 0.019
I 0.949 0.949 0.624

***

Record 5
Here is a relaxed structure of LaMgGe2 from the Alexandria database. Energies are from PBE-GGA.

Output
Density of states at the Fermi level ... 6.2 states/eV/cell
Calculated density ... 5.53 g cm⁻³
Electronic total energy ... -72.4 eV for the cell shown
Space group ... No. 62
Energy relative to the elements ... -0.58 eV per atom

Cell: 8.250 4.054 11.086 Å, 90.00 90.00 90.00°
Positions (direct):
La 0.123 0.250 0.142
La 0.377 0.750 0.642
La 0.623 0.250 0.358
La 0.877 0.750 0.858
Mg 0.009 0.750 0.394
Mg 0.491 0.250 0.894
Mg 0.509 0.750 0.106
Mg 0.991 0.250 0.606
Ge 0.172 0.250 0.810
Ge 0.245 0.250 0.446
Ge 0.255 0.750 0.946
Ge 0.328 0.750 0.310
Ge 0.672 0.250 0.690
Ge 0.745 0.250 0.054
Ge 0.755 0.750 0.554
Ge 0.828 0.750 0.190

***

Record 6
Here is a relaxed structure of TlAgSn2Se4 from the Alexandria database. Energies are from PBE-GGA.

Output
Energy relative to the elements, uncorrected ... -292 meV per atom
Density of states at the Fermi level ... 3.9 states/eV/cell
Calculated density ... 6.50 g cm⁻³
Electronic total energy ... -59.0 eV for the cell shown
Space group ... No. 63

Cell: 7.015 7.015 15.848 Å, 90.00 90.00 145.48°
Positions (direct):
Tl 0.102 0.898 0.750
Tl 0.898 0.102 0.250
Ag 0.201 0.799 0.250
Ag 0.799 0.201 0.750
Sn 0.370 0.630 0.565
Sn 0.370 0.630 0.935
Sn 0.630 0.370 0.065
Sn 0.630 0.370 0.435
Se 0.000 0.000 0.000
Se 0.000 0.000 0.500
Se 0.269 0.731 0.096
Se 0.269 0.731 0.404
Se 0.425 0.575 0.750
Se 0.575 0.425 0.250
Se 0.731 0.269 0.596
Se 0.731 0.269 0.904

***

Record 7
Here is a relaxed structure of Sc6AlFe2 from the Alexandria database. Energies are from PBE-GGA.

Output
Density of states at the Fermi level ... 23.4 states/eV/cell
Calculated density ... 3.80 g cm⁻³
Electronic total energy ... -120.9 eV for the cell shown
Space group ... No. 71
Energy relative to the elements ... -0.20 eV per atom

Cell: 7.746 7.746 7.746 Å, 112.03 110.86 105.59°
Positions (direct):
Sc 0.039 0.242 0.797
Sc 0.185 0.281 0.466
Sc 0.185 0.719 0.904
Sc 0.327 0.018 0.691
Sc 0.327 0.637 0.309
Sc 0.445 0.242 0.203
Sc 0.555 0.758 0.797
Sc 0.673 0.363 0.691
Sc 0.673 0.982 0.309
Sc 0.815 0.281 0.096
Sc 0.815 0.719 0.534
Sc 0.961 0.758 0.203
Al 0.000 0.000 0.000
Al 0.500 0.500 0.000
Fe 0.116 0.616 0.500
Fe 0.330 0.000 0.330
Fe 0.670 0.000 0.670
Fe 0.884 0.384 0.500

***

Record 8
Here is a relaxed structure of NaLi2Mg from the Alexandria database. Energies are from PBE-GGA.

Output
Density of states at the Fermi level ... 3.1 states/eV/cell
Calculated density ... 0.98 g cm⁻³
Electronic total energy ... -12.0 eV for the cell shown
Space group ... No. 122
Energy relative to the elements ... 0.18 eV per atom

Cell: 11.344 11.344 11.344 Å, 157.84 157.84 31.54°
Positions (direct):
Na 0.000 0.000 0.000
Na 0.750 0.250 0.500
Li 0.143 0.625 0.018
Li 0.375 0.393 0.518
Li 0.607 0.125 0.982
Li 0.875 0.857 0.482
Mg 0.250 0.750 0.500
Mg 0.500 0.500 0.000

***

Record 9
Here is a relaxed structure of PrBiAu6 from the Alexandria database. Energies are from PBE-GGA.

Output
Density of states at the Fermi level ... 1.5 states/eV/cell
Calculated density ... 14.47 g cm⁻³
Electronic total energy ... -30.4 eV for the cell shown
Space group ... No. 200
Energy relative to the elements ... -0.26 eV per atom

Cell: 5.602 5.602 5.602 Å, 90.00 90.00 90.00°
Positions (direct):
Pr 0.000 0.000 0.000
Bi 0.500 0.500 0.500
Au 0.000 0.249 0.500
Au 0.000 0.751 0.500
Au 0.249 0.500 0.000
Au 0.500 0.000 0.249
Au 0.500 0.000 0.751
Au 0.751 0.500 0.000

***

Record 10
Here is a relaxed structure of NaSn2Pt2 from the Alexandria database. Energies are from PBE-GGA.

Output
Density of states at the Fermi level ... 4.9 states/eV/cell
Calculated density ... 10.53 g cm⁻³
Electronic total energy ... -46.7 eV for the cell shown
Space group ... No. 127
Energy relative to the elements ... -0.39 eV per atom

Cell: 7.880 7.880 3.304 Å, 90.00 90.00 90.00°
Positions (direct):
Na 0.000 0.000 0.000
Na 0.500 0.500 0.000
Sn 0.160 0.340 0.500
Sn 0.340 0.840 0.500
Sn 0.660 0.160 0.500
Sn 0.840 0.660 0.500
Pt 0.135 0.635 0.000
Pt 0.365 0.135 0.000
Pt 0.635 0.865 0.000
Pt 0.865 0.365 0.000